No. 1
Material: Er2ScCo
Method: DFT, GGA-PBE
State: optimized geometry

Properties
Offset from the most stable computed form ... 0.0000 eV per atom
Crystal system ... orthorhombic
Formation energy ... -197 meV/atom

Cell lengths 6.084, 6.749, 9.033 Å; angles 90.00, 90.00, 90.00 degrees
Atoms (fractional coordinates):
1 Er 0.679 0.820 0.565
2 Er 0.821 0.320 0.935
3 Er 0.179 0.680 0.065
4 Er 0.821 0.320 0.565
5 Er 0.321 0.180 0.435
6 Er 0.321 0.180 0.065
7 Er 0.179 0.680 0.435
8 Er 0.679 0.820 0.935
9 Co 0.478 0.887 0.250
10 Co 0.522 0.113 0.750
11 Co 0.978 0.613 0.750
12 Co 0.022 0.387 0.250
13 Sc 0.639 0.545 0.250
14 Sc 0.861 0.045 0.250
15 Sc 0.361 0.455 0.750
16 Sc 0.139 0.955 0.750

***

No. 2
Material: ErSc2Co
Method: DFT, GGA-PBE
State: optimized geometry

Properties
Offset from the most stable computed form ... 0.3538 eV per atom
Crystal system ... trigonal
Formation energy ... 147 meV/atom

Cell lengths 3.318, 3.318, 10.055 Å; angles 80.50, 80.50, 60.00 degrees
Atoms (fractional coordinates):
1 Er 0.000 0.000 0.000
2 Sc 0.112 0.112 0.665
3 Sc 0.888 0.888 0.335
4 Co 0.500 0.500 0.500

***

No. 3
Material: Er3Sc2Co2
Method: DFT, GGA-PBE
State: optimized geometry

Properties
Crystal system ... monoclinic
Formation energy ... -196 meV/atom

Cell lengths 3.540, 6.009, 8.470 Å; angles 114.15, 90.00, 107.13 degrees
Atoms (fractional coordinates):
1 Er 0.385 0.770 0.570
2 Er 0.500 0.000 0.000
3 Er 0.615 0.230 0.430
4 Sc 0.174 0.348 0.815
5 Sc 0.826 0.652 0.185
6 Co 0.186 0.372 0.234
7 Co 0.814 0.628 0.766

***

No. 4
Material: ErSc2Co
Method: DFT, GGA-PBE
State: optimized geometry

Properties
Offset from the most stable computed form ... 0.0745 eV per atom
Crystal system ... tetragonal
Formation energy ... -132 meV/atom

Cell lengths 3.199, 3.199, 8.345 Å; angles 90.00, 90.00, 90.00 degrees
Last column: magnetic moment on the atom in μB.
Atoms (fractional coordinates):
1 Er 0.500 0.500 0.500  0.02
2 Sc 0.000 0.000 0.180  -0.07
3 Sc 0.000 0.000 0.820  -0.07
4 Co 0.500 0.500 0.000  0.71

***

No. 5
Material: ErScCo
Method: DFT, GGA-PBE
State: optimized geometry

Properties
Offset from the most stable computed form ... 0.0526 eV per atom
Crystal system ... monoclinic
Formation energy ... -182 meV/atom

Cell lengths 3.239, 6.464, 6.449 Å; angles 105.13, 104.56, 89.97 degrees
Last column: magnetic moment on the atom in μB.
Atoms (fractional coordinates):
1 Co 0.937 0.816 0.639  0.74
2 Co 0.941 0.288 0.649  0.74
3 Sc 0.565 0.115 0.897  -0.06
4 Sc 0.313 0.989 0.391  -0.06
5 Er 0.572 0.623 0.911  -0.04
6 Er 0.306 0.481 0.378  -0.04

***

No. 6
Material: ErSc2Co
Method: DFT, GGA-PBE
State: optimized geometry

Properties
Offset from the most stable computed form ... 0.1864 eV per atom
Crystal system ... trigonal
Formation energy ... -20 meV/atom

Cell lengths 4.223, 4.223, 6.397 Å; angles 70.73, 70.73, 60.00 degrees
Atoms (fractional coordinates):
1 Er 0.499 0.499 0.504
2 Co 0.669 0.669 0.994
3 Sc 0.284 0.284 0.148
4 Sc 0.049 0.049 0.854

***

No. 7
Material: ErScCo
Method: DFT, GGA-PBE
State: optimized geometry

Properties
Offset from the most stable computed form ... 0.1435 eV per atom
Crystal system ... cubic
Formation energy ... -91 meV/atom

Cell lengths 4.512, 4.512, 4.512 Å; angles 60.00, 60.00, 60.00 degrees
Atoms (fractional coordinates):
1 Co 0.250 0.250 0.250
2 Er 0.000 0.000 0.000
3 Sc 0.500 0.500 0.500

***

No. 8
Material: Er2ScCo
Method: DFT, GGA-PBE
State: optimized geometry

Properties
Offset from the most stable computed form ... 0.1315 eV per atom
Crystal system ... tetragonal
Formation energy ... -65 meV/atom

Cell lengths 3.355, 3.355, 8.282 Å; angles 90.00, 90.00, 90.00 degrees
Last column: magnetic moment on the atom in μB.
Atoms (fractional coordinates):
1 Co 0.500 0.500 0.000  0.93
2 Sc 0.500 0.500 0.500  0.44
3 Er 0.000 0.000 0.806  0.01
4 Er 0.000 0.000 0.194  0.01

***

No. 9
Material: ErSc4Co
Method: DFT, GGA-PBE
State: optimized geometry

Properties
Crystal system ... triclinic
Formation energy ... -14 meV/atom

Cell lengths 5.989, 5.571, 9.968 Å; angles 116.32, 107.53, 89.99 degrees
Atoms (fractional coordinates):
1 Er 0.830 0.750 0.000
2 Er 0.170 0.250 0.000
3 Sc 0.469 0.935 0.220
4 Sc 0.315 0.548 0.379
5 Sc 0.249 0.565 0.780
6 Sc 0.685 0.452 0.621
7 Sc 0.935 0.952 0.620
8 Sc 0.531 0.065 0.780
9 Sc 0.751 0.435 0.220
10 Sc 0.065 0.048 0.380
11 Co 0.000 0.500 0.500
12 Co 0.500 0.000 0.500

***

No. 10
Material: ErSc2Co
Method: DFT, GGA-PBE
State: optimized geometry

Properties
Offset from the most stable computed form ... 0.0176 eV per atom
Crystal system ... orthorhombic
Formation energy ... -189 meV/atom

Cell lengths 3.467, 5.973, 8.766 Å; angles 90.00, 90.00, 106.89 degrees
Atoms (fractional coordinates):
1 Er 0.075 0.150 0.750
2 Er 0.925 0.850 0.250
3 Sc 0.643 0.287 0.070
4 Sc 0.357 0.713 0.930
5 Sc 0.357 0.713 0.570
6 Sc 0.643 0.287 0.430
7 Co 0.756 0.513 0.750
8 Co 0.244 0.487 0.250

***

No. 11
Material: Er3ScCo2
Method: DFT, GGA-PBE
State: optimized geometry

Properties
Offset from the most stable computed form ... 0.0000 eV per atom
Crystal system ... orthorhombic
Formation energy ... -103 meV/atom

Cell lengths 6.351, 6.819, 7.938 Å; angles 115.43, 113.58, 90.00 degrees
Atoms (fractional coordinates):
1 Co 0.409 0.634 0.267
2 Co 0.858 0.134 0.267
3 Co 0.591 0.366 0.733
4 Co 0.142 0.866 0.733
5 Sc 0.000 0.500 0.000
6 Sc 0.000 0.000 0.000
7 Er 0.500 0.750 0.000
8 Er 0.770 0.520 0.541
9 Er 0.770 0.020 0.541
10 Er 0.500 0.250 0.000
11 Er 0.230 0.980 0.459
12 Er 0.230 0.480 0.459

***

No. 12
Material: ErSc2Co
Method: DFT, GGA-PBE
State: optimized geometry

Properties
Offset from the most stable computed form ... 0.0000 eV per atom
Crystal system ... orthorhombic
Formation energy ... -207 meV/atom

Cell lengths 5.933, 6.612, 8.838 Å; angles 90.00, 90.00, 90.00 degrees
Atoms (fractional coordinates):
1 Er 0.870 0.036 0.250
2 Er 0.370 0.464 0.750
3 Er 0.130 0.964 0.750
4 Er 0.630 0.536 0.250
5 Sc 0.827 0.327 0.934
6 Sc 0.327 0.173 0.434
7 Sc 0.173 0.673 0.434
8 Sc 0.673 0.827 0.934
9 Sc 0.827 0.327 0.566
10 Sc 0.327 0.173 0.066
11 Sc 0.173 0.673 0.066
12 Sc 0.673 0.827 0.566
13 Co 0.935 0.610 0.750
14 Co 0.065 0.390 0.250
15 Co 0.565 0.110 0.750
16 Co 0.435 0.890 0.250